(1)
# TlIrS2I (GGA-PBE, relaxed)
data_TlIrS2I
_chemical_formula_sum 'Tl1 Ir1 S2 I1'
_space_group_name_H-M_alt 'P 4/m m m'
_space_group_IT_number 123
_space_group_name_Hall '-P 4 2'
_cell_length_a 4.923
_cell_length_b 4.923
_cell_length_c 6.503
_cell_angle_alpha 90.00
_cell_angle_beta 90.00
_cell_angle_gamma 90.00
loop_
_atom_site_label
_atom_site_fract_x
_atom_site_fract_y
_atom_site_fract_z
Tl1 0.000 0.000 0.000
Ir1 0.500 0.500 0.500
S1 0.000 0.500 0.000
I1 0.000 0.000 0.500
# Magnetization = 2.93 μB per formula unit
# Calculated volume = 158 Å³/cell
# Formation energy without anion corrections = 748 kJ/mol of formula units

(2)
# Ce2GdSn (GGA-PBE, relaxed)
data_Ce2GdSn
_chemical_formula_sum 'Ce2 Gd1 Sn1'
_space_group_name_H-M_alt 'P 4/m m m'
_space_group_IT_number 123
_space_group_name_Hall '-P 4 2'
_cell_length_a 4.674
_cell_length_b 4.674
_cell_length_c 5.050
_cell_angle_alpha 90.00
_cell_angle_beta 90.00
_cell_angle_gamma 90.00
loop_
_atom_site_label
_atom_site_fract_x
_atom_site_fract_y
_atom_site_fract_z
Ce1 0.000 0.500 0.000
Gd1 0.000 0.000 0.500
Sn1 0.500 0.500 0.500
# Excess energy over the best structure of this formula in the dataset = 0 meV/atom
# Magnetization = 5.54 μB per formula unit
# Calculated volume = 110 Å³/cell

(3)
# Ca2TlPdO6 (GGA-PBE, relaxed)
data_Ca2TlPdO6
_chemical_formula_sum 'Ca2 Tl1 Pd1 O6'
_space_group_name_H-M_alt 'P 4 m m'
_space_group_IT_number 99
_space_group_name_Hall 'P 4 -2'
_cell_length_a 5.586
_cell_length_b 5.586
_cell_length_c 4.956
_cell_angle_alpha 90.00
_cell_angle_beta 90.00
_cell_angle_gamma 90.00
loop_
_atom_site_label
_atom_site_fract_x
_atom_site_fract_y
_atom_site_fract_z
Ca1 0.000 0.500 0.000
Tl1 0.000 0.000 0.557
Pd1 0.500 0.500 0.631
O1 0.000 0.000 0.133
O2 0.260 0.260 0.740
O3 0.500 0.500 0.245
# Magnetization = 0.00 μB per formula unit
# Calculated volume = 155 Å³/cell
# Formation energy without anion corrections = -1190 kJ/mol of formula units

(4)
# Ac3NpSe6 (GGA-PBE, relaxed)
data_Ac3NpSe6
_chemical_formula_sum 'Ac6 Np2 Se12'
_space_group_name_H-M_alt 'C 1 2/m 1'
_space_group_IT_number 12
_space_group_name_Hall '-C 2y'
_cell_length_a 13.600
_cell_length_b 7.894
_cell_length_c 7.713
_cell_angle_alpha 90.00
_cell_angle_beta 123.02
_cell_angle_gamma 90.00
loop_
_atom_site_label
_atom_site_fract_x
_atom_site_fract_y
_atom_site_fract_z
Ac1 0.000 0.000 0.000
Ac2 0.249 0.000 0.703
Np1 0.000 0.500 0.500
Se1 0.088 0.253 0.346
Se2 0.239 0.500 0.887
# Excess energy over the best structure of this formula in the dataset = 109 meV/atom
# Magnetization = 4.00 μB per formula unit
# Calculated volume = 694 Å³/cell
# Formation energy without anion corrections = -1592 kJ/mol of formula units

Number 3 is which compound? Ca2TlPdO6

Which of these has the lowest magnetization? Ca2TlPdO6